TaCdAs | PBE-GGA | optimized geometry

Lattice parameters (Å, degrees): 7.7751 7.6294 2.9542 81.73 76.18 22.09
Fractional positions:
Ta  0.0000  0.0000  0.0000
Cd  0.3435  0.3435  0.6565
As  0.6301  0.6301  0.3699

Summary:
DOS at the Fermi energy, states/eV/cell: 1.15
Electronic total energy, eV per atom: -5.704
Energy relative to the lowest polymorph listed for this composition, eV/atom: 0.059
ΔE_f, eV per atom: 0.101
Symmetry: Fmm2